Material: La2MgAl4Zn3
Method: DFT, GGA-PBE
State: relaxed

electronic total energy = -34.102 eV/f.u.
energy relative to the elements = -386.1 meV/atom

Unit cell a=4.360 b=4.360 c=11.045 alpha=90.00 beta=90.00 gamma=90.00
Space group P-4m2 (No. 115)
Asymmetric unit:
La 0.000 0.500 0.243 [2 per cell]
Mg 0.000 0.000 0.500 [1 per cell]
Al 0.000 0.000 0.000 [1 per cell]
Al 0.000 0.500 0.644 [2 per cell]
Al 0.500 0.500 0.000 [1 per cell]
Zn 0.000 0.500 0.870 [2 per cell]
Zn 0.500 0.500 0.500 [1 per cell]